[1]
Entry from Alexandria: a geometry-optimized La6Dy2HoEr structure (GGA-PBE). Values from VASP.

The structure in Quantum ESPRESSO input format:
```
&SYSTEM
  ibrav = 0, nat = 10, ntyp = 4
/
ATOMIC_SPECIES
La 138.91 La.upf
Dy 162.50 Dy.upf
Ho 164.93 Ho.upf
Er 167.26 Er.upf
CELL_PARAMETERS angstrom
9.021 0.000 1.060
0.000 7.063 0.000
-2.175 -3.532 5.292
ATOMIC_POSITIONS crystal
La 0.428 0.632 0.265
La 0.803 0.411 0.375
La 0.572 0.368 0.735
La 0.197 0.589 0.625
La 0.197 0.035 0.625
La 0.803 0.965 0.375
Dy 0.170 0.081 0.162
Dy 0.830 0.919 0.838
Ho 0.500 0.000 0.000
Er 0.000 0.500 0.000
```

The value obtained for the formation energy is 188 kJ/mol of formula units.

=====

[2]
Entry from Alexandria: a geometry-optimized LaDy2Ho6Er3 structure (GGA-PBE). Values from VASP.

The structure in Quantum ESPRESSO input format:
```
&SYSTEM
  ibrav = 0, nat = 12, ntyp = 4
/
ATOMIC_SPECIES
Ho 164.93 Ho.upf
Er 167.26 Er.upf
Dy 162.50 Dy.upf
La 138.91 La.upf
CELL_PARAMETERS angstrom
-2.034 3.181 -4.834
-3.991 -2.803 3.720
1.392 9.399 6.894
ATOMIC_POSITIONS crystal
Ho 0.420 0.085 0.253
Ho 0.085 0.420 0.253
Ho 0.915 0.580 0.747
Ho 0.750 0.750 0.253
Ho 0.250 0.250 0.747
Ho 0.580 0.915 0.747
Er 0.500 0.500 0.500
Er 0.167 0.833 0.500
Er 0.833 0.167 0.500
Dy 0.667 0.333 0.000
Dy 0.333 0.667 0.000
La 0.000 0.000 0.000
```

The value obtained for the formation energy is 27 kJ/mol of formula units.

=====

[3]
Entry from Alexandria: a geometry-optimized LaDy2HoEr4 structure (GGA-PBE). Values from VASP.

The structure in Quantum ESPRESSO input format:
```
&SYSTEM
  ibrav = 0, nat = 16, ntyp = 4
/
ATOMIC_SPECIES
Er 167.26 Er.upf
Dy 162.50 Dy.upf
Ho 164.93 Ho.upf
La 138.91 La.upf
CELL_PARAMETERS angstrom
7.076 0.290 -0.314
-0.623 11.876 -3.051
-2.817 -8.582 8.303
ATOMIC_POSITIONS crystal
Er 0.749 0.251 0.999
Er 0.749 0.751 0.498
Er 0.751 0.248 0.501
Er 0.251 0.748 0.001
Er 0.251 0.249 0.502
Er 0.751 0.749 0.002
Er 0.249 0.251 0.998
Er 0.249 0.751 0.499
Dy 0.000 0.000 0.500
Dy 0.500 0.500 0.000
Dy 0.500 0.000 0.500
Dy 0.500 0.000 0.000
Ho 0.000 0.500 0.000
Ho 0.000 0.500 0.500
La 0.000 0.000 0.000
La 0.500 0.500 0.500
```

The value obtained for the formation energy is 17 kJ/mol of formula units.

=====

[4]
Entry from Alexandria: a geometry-optimized LaDy6Ho2Er3 structure (GGA-PBE). Values from VASP.

The structure in Quantum ESPRESSO input format:
```
&SYSTEM
  ibrav = 0, nat = 12, ntyp = 4
/
ATOMIC_SPECIES
Er 167.26 Er.upf
La 138.91 La.upf
Dy 162.50 Dy.upf
Ho 164.93 Ho.upf
CELL_PARAMETERS angstrom
-4.048 -4.180 -1.967
5.790 -0.135 -2.047
2.362 -5.545 10.109
ATOMIC_POSITIONS crystal
Er 0.500 0.500 0.500
Er 0.833 0.167 0.500
Er 0.167 0.833 0.500
La 0.000 0.000 0.000
Dy 0.085 0.420 0.253
Dy 0.915 0.580 0.747
Dy 0.420 0.085 0.253
Dy 0.580 0.915 0.747
Dy 0.250 0.250 0.747
Dy 0.750 0.750 0.253
Ho 0.333 0.667 0.000
Ho 0.667 0.333 0.000
```

The value obtained for the formation energy is 26 kJ/mol of formula units.

=====

[5]
Entry from Alexandria: a geometry-optimized La2Dy3Ho6Er structure (GGA-PBE). Values from VASP.

The structure in Quantum ESPRESSO input format:
```
&SYSTEM
  ibrav = 0, nat = 12, ntyp = 4
/
ATOMIC_SPECIES
Dy 162.50 Dy.upf
Er 167.26 Er.upf
Ho 164.93 Ho.upf
La 138.91 La.upf
CELL_PARAMETERS angstrom
-5.548 -0.670 -2.637
1.046 -2.326 5.628
-1.982 10.995 3.785
ATOMIC_POSITIONS crystal
Dy 0.166 0.834 0.500
Dy 0.834 0.166 0.500
Dy 0.500 0.500 0.500
Er 0.000 0.000 0.000
Ho 0.247 0.247 0.746
Ho 0.085 0.417 0.254
Ho 0.915 0.583 0.746
Ho 0.583 0.915 0.746
Ho 0.753 0.753 0.254
Ho 0.417 0.085 0.254
La 0.666 0.334 0.000
La 0.334 0.666 0.000
```

The value obtained for the formation energy is 25 kJ/mol of formula units.

=====

[6]
Entry from Alexandria: a geometry-optimized LaDyHo4Er2 structure (GGA-PBE). Values from VASP.

The structure in Quantum ESPRESSO input format:
```
&SYSTEM
  ibrav = 0, nat = 16, ntyp = 4
/
ATOMIC_SPECIES
Ho 164.93 Ho.upf
Er 167.26 Er.upf
Dy 162.50 Dy.upf
La 138.91 La.upf
CELL_PARAMETERS angstrom
10.036 0.519 0.114
-0.436 9.241 -3.824
-4.720 -7.583 8.412
ATOMIC_POSITIONS crystal
Ho 0.750 0.243 0.496
Ho 0.250 0.250 0.504
Ho 0.750 0.256 0.003
Ho 0.250 0.251 0.997
Ho 0.250 0.744 0.997
Ho 0.750 0.749 0.003
Ho 0.250 0.757 0.503
Ho 0.750 0.750 0.497
Er 0.000 0.000 0.500
Er 0.500 0.000 0.500
Er 0.500 0.000 0.000
Er 0.500 0.500 0.000
Dy 0.000 0.500 0.500
Dy 0.000 0.500 0.000
La 0.000 0.000 0.000
La 0.500 0.500 0.500
```

The value obtained for the formation energy is 17 kJ/mol of formula units.

=====

[7]
Entry from Alexandria: a geometry-optimized LiDyHoEr structure (GGA-PBE). Values from VASP.

The structure in Quantum ESPRESSO input format:
```
&SYSTEM
  ibrav = 0, nat = 4, ntyp = 4
/
ATOMIC_SPECIES
Ho 164.93 Ho.upf
Li 6.94 Li.upf
Er 167.26 Er.upf
Dy 162.50 Dy.upf
CELL_PARAMETERS angstrom
5.438 0.000 0.000
2.719 4.710 0.000
2.719 1.570 4.440
ATOMIC_POSITIONS crystal
Ho 0.500 0.500 0.500
Li 0.250 0.250 0.250
Er 0.750 0.750 0.750
Dy 0.000 0.000 0.000
```

The value obtained for the formation energy is 67 kJ/mol of formula units.

=====

[8]
Entry from Alexandria: a geometry-optimized Dy2HoEr5Mg structure (GGA-PBE). Values from VASP.

The structure in Quantum ESPRESSO input format:
```
&SYSTEM
  ibrav = 0, nat = 18, ntyp = 4
/
ATOMIC_SPECIES
Er 167.26 Er.upf
Dy 162.50 Dy.upf
Ho 164.93 Ho.upf
Mg 24.30 Mg.upf
CELL_PARAMETERS angstrom
5.360 0.000 0.000
-2.680 9.974 0.000
0.000 0.000 10.351
ATOMIC_POSITIONS crystal
Er 0.500 0.000 0.758
Er 0.711 0.422 0.808
Er 0.987 0.973 0.508
Er 0.013 0.027 0.008
Er 0.383 0.765 0.008
Er 0.617 0.235 0.508
Er 0.500 0.000 0.258
Er 0.289 0.579 0.708
Er 0.711 0.421 0.208
Er 0.289 0.578 0.308
Dy 0.885 0.770 0.796
Dy 0.885 0.770 0.221
Dy 0.115 0.230 0.721
Dy 0.115 0.230 0.296
Ho 0.794 0.588 0.508
Ho 0.206 0.412 0.008
Mg 0.405 0.809 0.507
Mg 0.595 0.191 0.007
```

The value obtained for the formation energy is 94 kJ/mol of formula units.

=====

[9]
Entry from Alexandria: a geometry-optimized Dy5Ho2ErMg structure (GGA-PBE). Values from VASP.

The structure in Quantum ESPRESSO input format:
```
&SYSTEM
  ibrav = 0, nat = 18, ntyp = 4
/
ATOMIC_SPECIES
Dy 162.50 Dy.upf
Ho 164.93 Ho.upf
Er 167.26 Er.upf
Mg 24.30 Mg.upf
CELL_PARAMETERS angstrom
-1.515 -2.557 4.487
10.275 0.713 0.648
-0.947 9.180 4.910
ATOMIC_POSITIONS crystal
Dy 0.710 0.420 0.209
Dy 0.500 0.999 0.758
Dy 0.500 0.001 0.258
Dy 0.711 0.421 0.808
Dy 0.289 0.579 0.308
Dy 0.014 0.028 0.008
Dy 0.618 0.236 0.509
Dy 0.382 0.764 0.009
Dy 0.986 0.972 0.508
Dy 0.290 0.580 0.709
Ho 0.885 0.771 0.222
Ho 0.114 0.229 0.296
Ho 0.886 0.771 0.796
Ho 0.115 0.229 0.722
Er 0.795 0.589 0.509
Er 0.205 0.411 0.009
Mg 0.595 0.191 0.007
Mg 0.405 0.809 0.507
```

The value obtained for the formation energy is 91 kJ/mol of formula units.

=====

[10]
Entry from Alexandria: a geometry-optimized Dy2HoEr4Mg structure (GGA-PBE). Values from VASP.

The structure in Quantum ESPRESSO input format:
```
&SYSTEM
  ibrav = 0, nat = 8, ntyp = 4
/
ATOMIC_SPECIES
Er 167.26 Er.upf
Ho 164.93 Ho.upf
Dy 162.50 Dy.upf
Mg 24.30 Mg.upf
CELL_PARAMETERS angstrom
-0.055 1.875 4.540
-1.799 -4.245 1.731
7.437 -7.559 3.211
ATOMIC_POSITIONS crystal
Er 0.000 0.251 0.249
Er 0.500 0.750 0.249
Er 0.000 0.749 0.751
Er 0.500 0.250 0.751
Ho 0.000 0.500 0.500
Dy 0.500 0.000 0.500
Dy 0.000 0.000 0.000
Mg 0.500 0.500 0.000
```

The value obtained for the formation energy is 19 kJ/mol of formula units.

=====

[11]
Entry from Alexandria: a geometry-optimized Dy2HoEr2Mg2 structure (GGA-PBE). Values from VASP.

The structure in Quantum ESPRESSO input format:
```
&SYSTEM
  ibrav = 0, nat = 7, ntyp = 4
/
ATOMIC_SPECIES
Dy 162.50 Dy.upf
Er 167.26 Er.upf
Mg 24.30 Mg.upf
Ho 164.93 Ho.upf
CELL_PARAMETERS angstrom
5.408 0.000 0.000
2.704 4.684 0.000
2.704 1.561 7.948
ATOMIC_POSITIONS crystal
Dy 0.573 0.573 0.280
Dy 0.427 0.427 0.720
Er 0.846 0.846 0.463
Er 0.154 0.154 0.537
Mg 0.289 0.289 0.134
Mg 0.711 0.711 0.866
Ho 0.000 0.000 0.000
```

The value obtained for the formation energy is -13 kJ/mol of formula units.

=====

[12]
Entry from Alexandria: a geometry-optimized Dy2HoEr2Mg structure (GGA-PBE). Values from VASP.

The structure in Quantum ESPRESSO input format:
```
&SYSTEM
  ibrav = 0, nat = 12, ntyp = 4
/
ATOMIC_SPECIES
Dy 162.50 Dy.upf
Ho 164.93 Ho.upf
Er 167.26 Er.upf
Mg 24.30 Mg.upf
CELL_PARAMETERS angstrom
3.596 0.000 0.000
0.000 11.667 0.000
0.000 0.000 10.169
ATOMIC_POSITIONS crystal
Dy 0.000 0.723 0.905
Dy 0.500 0.223 0.595
Dy 0.500 0.777 0.405
Dy 0.000 0.277 0.095
Ho 0.000 0.000 0.500
Ho 0.500 0.500 0.000
Er 0.000 0.427 0.750
Er 0.000 0.573 0.250
Er 0.500 0.073 0.250
Er 0.500 0.927 0.750
Mg 0.000 0.000 0.000
Mg 0.500 0.500 0.500
```

The value obtained for the formation energy is 279 kJ/mol of formula units.

=====

[13]
Entry from Alexandria: a geometry-optimized Dy4Ho2ErMg structure (GGA-PBE). Values from VASP.

The structure in Quantum ESPRESSO input format:
```
&SYSTEM
  ibrav = 0, nat = 8, ntyp = 4
/
ATOMIC_SPECIES
Ho 164.93 Ho.upf
Dy 162.50 Dy.upf
Mg 24.30 Mg.upf
Er 167.26 Er.upf
CELL_PARAMETERS angstrom
-2.797 0.642 -4.022
-3.791 -2.221 2.282
-6.814 6.525 5.781
ATOMIC_POSITIONS crystal
Ho 0.500 0.000 0.500
Ho 0.000 0.000 0.000
Dy 0.000 0.251 0.248
Dy 0.500 0.249 0.752
Dy 0.500 0.751 0.248
Dy 0.000 0.749 0.752
Mg 0.500 0.500 0.000
Er 0.000 0.500 0.500
```

The value obtained for the formation energy is 16 kJ/mol of formula units.

=====

[14]
Entry from Alexandria: a geometry-optimized DyHoErMg structure (GGA-PBE). Values from VASP.

The structure in Quantum ESPRESSO input format:
```
&SYSTEM
  ibrav = 0, nat = 4, ntyp = 4
/
ATOMIC_SPECIES
Er 167.26 Er.upf
Ho 164.93 Ho.upf
Mg 24.30 Mg.upf
Dy 162.50 Dy.upf
CELL_PARAMETERS angstrom
-3.151 1.146 1.163
-0.354 -2.947 1.946
4.163 4.211 7.134
ATOMIC_POSITIONS crystal
Er 0.000 0.000 0.072
Ho 0.500 0.500 0.333
Mg 0.000 0.000 0.570
Dy 0.500 0.500 0.810
```

The value obtained for the formation energy is -9 kJ/mol of formula units. The energy above the most stable polymorph in this dataset comes out at 0.0 meV/atom.

=====

[15]
Entry from Alexandria: a geometry-optimized DyHo2Er2Mg structure (GGA-PBE). Values from VASP.

The structure in Quantum ESPRESSO input format:
```
&SYSTEM
  ibrav = 0, nat = 12, ntyp = 4
/
ATOMIC_SPECIES
Ho 164.93 Ho.upf
Dy 162.50 Dy.upf
Mg 24.30 Mg.upf
Er 167.26 Er.upf
CELL_PARAMETERS angstrom
3.591 0.000 0.000
0.000 11.637 0.000
0.000 0.000 10.200
ATOMIC_POSITIONS crystal
Ho 0.500 0.777 0.406
Ho 0.000 0.277 0.094
Ho 0.500 0.223 0.594
Ho 0.000 0.723 0.906
Dy 0.500 0.500 0.000
Dy 0.000 0.000 0.500
Mg 0.500 0.500 0.500
Mg 0.000 0.000 0.000
Er 0.000 0.427 0.750
Er 0.000 0.573 0.250
Er 0.500 0.927 0.750
Er 0.500 0.073 0.250
```

The value obtained for the formation energy is 283 kJ/mol of formula units.

=====

[16]
Entry from Alexandria: a geometry-optimized Dy6Ho3Er2Mg structure (GGA-PBE). Values from VASP.

The structure in Quantum ESPRESSO input format:
```
&SYSTEM
  ibrav = 0, nat = 12, ntyp = 4
/
ATOMIC_SPECIES
Er 167.26 Er.upf
Dy 162.50 Dy.upf
Ho 164.93 Ho.upf
Mg 24.30 Mg.upf
CELL_PARAMETERS angstrom
6.091 -0.002 0.000
-3.046 5.275 0.000
-1.022 -1.769 11.410
ATOMIC_POSITIONS crystal
Er 0.666 0.334 0.000
Er 0.334 0.666 0.000
Dy 0.415 0.082 0.248
Dy 0.585 0.918 0.752
Dy 0.918 0.585 0.752
Dy 0.251 0.251 0.751
Dy 0.749 0.749 0.249
Dy 0.082 0.415 0.248
Ho 0.166 0.834 0.500
Ho 0.500 0.500 0.500
Ho 0.834 0.166 0.500
Mg 0.000 0.000 0.000
```

The value obtained for the formation energy is 34 kJ/mol of formula units.

=====

[17]
Entry from Alexandria: a geometry-optimized Dy2Ho6Er3Mg structure (GGA-PBE). Values from VASP.

The structure in Quantum ESPRESSO input format:
```
&SYSTEM
  ibrav = 0, nat = 12, ntyp = 4
/
ATOMIC_SPECIES
Er 167.26 Er.upf
Dy 162.50 Dy.upf
Ho 164.93 Ho.upf
Mg 24.30 Mg.upf
CELL_PARAMETERS angstrom
6.068 -0.002 0.001
-3.035 5.255 0.001
-1.022 -1.769 11.410
ATOMIC_POSITIONS crystal
Er 0.166 0.834 0.500
Er 0.834 0.166 0.500
Er 0.500 0.500 0.500
Dy 0.334 0.666 0.000
Dy 0.666 0.334 0.000
Ho 0.251 0.251 0.749
Ho 0.585 0.918 0.751
Ho 0.749 0.749 0.251
Ho 0.415 0.082 0.249
Ho 0.082 0.415 0.249
Ho 0.918 0.585 0.751
Mg 0.000 0.000 0.000
```

The value obtained for the formation energy is 34 kJ/mol of formula units.

=====

[18]
Entry from Alexandria: a geometry-optimized Dy2Ho2ErMg2 structure (GGA-PBE). Values from VASP.

The structure in Quantum ESPRESSO input format:
```
&SYSTEM
  ibrav = 0, nat = 7, ntyp = 4
/
ATOMIC_SPECIES
Mg 24.30 Mg.upf
Ho 164.93 Ho.upf
Dy 162.50 Dy.upf
Er 167.26 Er.upf
CELL_PARAMETERS angstrom
-1.860 5.077 0.045
-0.924 2.499 4.705
6.541 5.262 1.597
ATOMIC_POSITIONS crystal
Mg 0.711 0.711 0.868
Mg 0.289 0.289 0.132
Ho 0.427 0.427 0.720
Ho 0.573 0.573 0.280
Dy 0.845 0.845 0.464
Dy 0.155 0.155 0.536
Er 0.000 0.000 0.000
```

The value obtained for the formation energy is -10 kJ/mol of formula units.

=====

[19]
Entry from Alexandria: a geometry-optimized Dy2Ho2ErMg structure (GGA-PBE). Values from VASP.

The structure in Quantum ESPRESSO input format:
```
&SYSTEM
  ibrav = 0, nat = 12, ntyp = 4
/
ATOMIC_SPECIES
Mg 24.30 Mg.upf
Er 167.26 Er.upf
Dy 162.50 Dy.upf
Ho 164.93 Ho.upf
CELL_PARAMETERS angstrom
-3.056 1.884 -0.309
-5.145 -7.080 7.722
2.986 6.083 7.568
ATOMIC_POSITIONS crystal
Mg 0.000 0.000 0.000
Mg 0.500 0.500 0.500
Er 0.500 0.500 0.000
Er 0.000 0.000 0.500
Dy 0.000 0.723 0.904
Dy 0.000 0.277 0.096
Dy 0.500 0.777 0.404
Dy 0.500 0.223 0.596
Ho 0.000 0.573 0.249
Ho 0.500 0.073 0.251
Ho 0.500 0.927 0.749
Ho 0.000 0.427 0.751
```

The value obtained for the formation energy is 276 kJ/mol of formula units.

=====

[20]
Entry from Alexandria: a geometry-optimized Dy3Ho6Er2Mg structure (GGA-PBE). Values from VASP.

The structure in Quantum ESPRESSO input format:
```
&SYSTEM
  ibrav = 0, nat = 12, ntyp = 4
/
ATOMIC_SPECIES
Dy 162.50 Dy.upf
Mg 24.30 Mg.upf
Er 167.26 Er.upf
Ho 164.93 Ho.upf
CELL_PARAMETERS angstrom
6.081 -0.002 0.000
-3.041 5.266 0.000
-1.022 -1.770 11.404
ATOMIC_POSITIONS crystal
Dy 0.500 0.500 0.500
Dy 0.834 0.166 0.500
Dy 0.166 0.834 0.500
Mg 0.000 0.000 0.000
Er 0.666 0.334 0.000
Er 0.334 0.666 0.000
Ho 0.082 0.415 0.248
Ho 0.252 0.252 0.751
Ho 0.585 0.918 0.752
Ho 0.415 0.082 0.248
Ho 0.918 0.585 0.752
Ho 0.748 0.748 0.249
```

The value obtained for the formation energy is 36 kJ/mol of formula units.